Entry 1:
4
Lattice="3.963 0.000 0.000 0.000 3.963 0.000 0.000 0.000 9.238" Properties=species:S:1:pos:R:3 comment="KNaLi2 | the Alexandria database | PBE | optimized geometry" polymorph_energy_mev_per_atom=0.0 final_energy_ev_per_atom=-1.44 n_ef_per_ev_atom=0.38 delta_e_f_ev_per_atom=0.12 pbc="T T T"
K 0.000 0.000 0.000
Na 0.000 0.000 4.619
Li 1.981 1.981 2.845
Li 1.981 1.981 6.393

***

Entry 2:
5
Lattice="5.942 0.000 0.000 0.000 5.942 0.000 0.000 0.000 5.942" Properties=species:S:1:pos:R:3 comment="KNaLi3 | the Alexandria database | PBE | optimized geometry" polymorph_energy_mev_per_atom=269.5 final_energy_ev_per_atom=-1.09 n_ef_per_ev_atom=0.80 delta_e_f_ev_per_atom=0.54 pbc="T T T"
K 0.000 0.000 0.000
Na 2.971 2.971 2.971
Li 0.000 0.000 2.971
Li 0.000 2.971 0.000
Li 2.971 0.000 0.000

***

Entry 3:
10
Lattice="0.000 6.150 6.150 6.150 0.000 6.150 6.150 6.150 0.000" Properties=species:S:1:pos:R:3 comment="K2Na7Li | the Alexandria database | PBE | optimized geometry" final_energy_ev_per_atom=-1.22 n_ef_per_ev_atom=0.50 delta_e_f_ev_per_atom=0.11 pbc="T T T"
K 3.075 3.075 3.075
K 9.225 9.225 9.225
Na 0.000 0.000 0.000
Na 6.150 6.150 3.223
Na 6.150 3.223 6.150
Na 9.077 6.150 6.150
Na 3.223 6.150 6.150
Na 6.150 9.077 6.150
Na 6.150 6.150 9.077
Li 6.150 6.150 6.150

***

Entry 4:
6
Lattice="0.000 4.490 4.490 4.490 0.000 4.490 4.490 4.490 0.000" Properties=species:S:1:pos:R:3 comment="KNaLi4 | the Alexandria database | PBE | optimized geometry" final_energy_ev_per_atom=-1.61 n_ef_per_ev_atom=0.26 delta_e_f_ev_per_atom=0.07 pbc="T T T"
K 0.000 0.000 0.000
Na 6.735 6.735 6.735
Li 3.379 3.379 3.379
Li 5.601 5.601 3.379
Li 5.601 3.379 5.601
Li 3.379 5.601 5.601

***

Entry 5:
12
Lattice="6.046 0.000 0.000 0.000 6.833 0.000 0.000 0.000 12.022" Properties=species:S:1:pos:R:3 comment="KNa10Li | the Alexandria database | PBE | optimized geometry" final_energy_ev_per_atom=-1.26 n_ef_per_ev_atom=0.54 delta_e_f_ev_per_atom=0.09 pbc="T T T"
K 0.000 0.000 0.000
Na 0.000 0.000 4.181
Na 0.000 0.000 7.840
Na 0.000 3.417 2.284
Na 0.000 3.417 9.738
Na 3.023 0.000 6.011
Na 3.023 1.739 3.129
Na 3.023 1.739 8.893
Na 3.023 3.417 0.000
Na 3.023 5.094 3.129
Na 3.023 5.094 8.893
Li 0.000 3.417 6.011

***

Entry 6:
10
Lattice="-6.049 6.049 3.387 6.049 -6.049 3.387 6.049 6.049 -3.387" Properties=species:S:1:pos:R:3 comment="K4Na5Li | the Alexandria database | PBE | optimized geometry" final_energy_ev_per_atom=-1.25 n_ef_per_ev_atom=0.41 delta_e_f_ev_per_atom=0.04 pbc="T T T"
K 3.633 0.000 0.000
K 8.464 0.000 0.000
K 0.000 3.633 0.000
K 0.000 8.464 0.000
Na 0.000 0.000 1.543
Na 3.976 3.976 0.109
Na 2.073 -2.073 3.496
Na -2.073 2.073 3.496
Na 2.073 2.073 3.496
Li 0.000 0.000 5.015

***

Entry 7:
17
Lattice="11.376 0.000 0.000 -5.688 9.852 0.000 0.000 0.000 7.349" Properties=species:S:1:pos:R:3 comment="K6Na10Li | the Alexandria database | PBE | optimized geometry" final_energy_ev_per_atom=-1.20 n_ef_per_ev_atom=0.55 delta_e_f_ev_per_atom=0.07 pbc="T T T"
K -2.205 3.820 1.701
K -3.483 6.032 5.648
K 4.410 0.000 1.701
K 2.205 3.820 5.648
K 6.965 0.000 5.648
K 3.483 6.032 1.701
Na -1.266 2.192 5.244
Na -4.422 7.660 2.105
Na 2.531 0.000 5.244
Na 1.266 2.192 2.105
Na 0.000 6.568 0.000
Na 0.000 6.568 3.674
Na 5.688 3.284 0.000
Na 5.688 3.284 3.674
Na 8.845 0.000 2.105
Na 4.422 7.660 5.244
Li 0.000 0.000 0.000

***

Entry 8:
13
Lattice="3.261 -8.435 0.000 3.261 8.435 0.000 -3.159 0.000 8.432" Properties=species:S:1:pos:R:3 comment="KNa9Li3 | the Alexandria database | PBE | optimized geometry" final_energy_ev_per_atom=-1.40 n_ef_per_ev_atom=0.59 delta_e_f_ev_per_atom=0.04 pbc="T T T"
K 0.000 0.000 0.000
Na 0.102 5.419 5.519
Na 0.027 1.882 6.629
Na 3.260 5.419 2.913
Na 0.027 -1.882 6.629
Na 1.681 0.000 4.216
Na 3.336 1.882 1.804
Na 0.102 -5.419 5.519
Na 3.336 -1.882 1.804
Na 3.260 -5.419 2.913
Li -1.579 0.000 4.216
Li 1.630 4.218 0.000
Li 1.630 -4.218 0.000

***

Entry 9:
11
Lattice="5.807 -3.869 0.000 5.807 3.869 0.000 -4.109 0.000 11.374" Properties=species:S:1:pos:R:3 comment="K3Na7Li | the Alexandria database | PBE | optimized geometry" final_energy_ev_per_atom=-1.23 n_ef_per_ev_atom=0.46 delta_e_f_ev_per_atom=0.08 pbc="T T T"
K 0.000 0.000 0.000
K 5.535 1.981 4.818
K 5.535 -1.981 4.818
Na 2.593 2.085 2.036
Na 2.657 1.893 7.692
Na -0.266 0.000 9.344
Na 5.250 0.000 1.292
Na 2.593 -2.085 2.036
Na 2.657 -1.893 7.692
Na 5.586 0.000 8.201
Li 3.415 0.000 10.498

***

Entry 10:
7
Lattice="-3.429 3.429 9.545 3.429 -3.429 9.545 3.429 3.429 -9.545" Properties=species:S:1:pos:R:3 comment="K4Na2Li | the Alexandria database | PBE | optimized geometry" final_energy_ev_per_atom=-1.11 n_ef_per_ev_atom=0.69 delta_e_f_ev_per_atom=0.17 pbc="T T T"
K 3.429 0.000 0.000
K 0.000 0.000 3.627
K 0.000 3.429 0.000
K 0.000 0.000 15.464
Na 0.000 0.000 7.532
Na 0.000 0.000 11.559
Li 0.000 0.000 0.000

***

Entry 11:
4
Lattice="5.227 0.000 0.000 0.000 5.227 0.000 0.000 0.000 5.325" Properties=species:S:1:pos:R:3 comment="KNaLi2 | the Alexandria database | PBE | optimized geometry" polymorph_energy_mev_per_atom=31.4 final_energy_ev_per_atom=-1.41 n_ef_per_ev_atom=0.51 delta_e_f_ev_per_atom=0.15 pbc="T T T"
K 0.000 0.000 0.000
Na 2.614 2.614 0.000
Li 0.000 2.614 2.662
Li 2.614 0.000 2.662

***

Entry 12:
5
Lattice="-2.748 2.748 8.777 2.748 -2.748 8.777 2.748 2.748 -8.777" Properties=species:S:1:pos:R:3 comment="K2Na2Li | the Alexandria database | PBE | optimized geometry" polymorph_energy_mev_per_atom=155.7 final_energy_ev_per_atom=-1.10 n_ef_per_ev_atom=0.71 delta_e_f_ev_per_atom=0.25 pbc="T T T"
K 2.748 0.000 4.389
K 0.000 2.748 4.389
Na 0.000 0.000 1.545
Na 0.000 0.000 16.010
Li 0.000 0.000 8.777

***

Entry 13:
14
Lattice="8.385 0.000 0.000 0.000 8.385 0.000 0.000 0.000 8.385" Properties=species:S:1:pos:R:3 comment="KNa3Li3 | the Alexandria database | PBE | optimized geometry" final_energy_ev_per_atom=-1.25 n_ef_per_ev_atom=0.61 delta_e_f_ev_per_atom=0.29 pbc="T T T"
K 0.000 0.000 0.000
K 4.192 4.192 4.192
Na 0.000 2.096 4.192
Na 0.000 6.289 4.192
Na 2.096 4.192 0.000
Na 4.192 0.000 2.096
Na 4.192 0.000 6.289
Na 6.289 4.192 0.000
Li 0.000 4.192 2.096
Li 0.000 4.192 6.289
Li 2.096 0.000 4.192
Li 4.192 2.096 0.000
Li 4.192 6.289 0.000
Li 6.289 0.000 4.192

***

Entry 14:
8
Lattice="-2.472 2.472 12.257 2.472 -2.472 12.257 2.472 2.472 -12.257" Properties=species:S:1:pos:R:3 comment="KNaLi2 | the Alexandria database | PBE | optimized geometry" polymorph_energy_mev_per_atom=98.2 final_energy_ev_per_atom=-1.34 n_ef_per_ev_atom=0.53 delta_e_f_ev_per_atom=0.22 pbc="T T T"
K 0.000 0.000 0.000
K 0.000 2.472 6.128
Na 2.472 0.000 6.128
Na 0.000 0.000 12.257
Li 1.236 -1.007 9.193
Li 1.465 1.236 3.064
Li 1.236 3.479 -3.064
Li 1.007 1.236 15.321

***

Entry 15:
19
Lattice="5.606 3.236 6.664 -5.606 3.236 6.664 0.000 -6.473 6.664" Properties=species:S:1:pos:R:3 comment="KNa17Li | the Alexandria database | PBE | optimized geometry" final_energy_ev_per_atom=-1.29 n_ef_per_ev_atom=0.62 delta_e_f_ev_per_atom=0.05 pbc="T T T"
K 0.000 0.000 0.000
Na -1.890 -3.022 6.911
Na -3.562 -0.125 6.911
Na 0.000 0.000 5.318
Na 0.000 -3.911 9.871
Na -3.387 1.956 9.871
Na -2.012 -1.162 10.867
Na 1.890 -3.022 6.911
Na -1.673 3.148 6.911
Na 0.000 0.000 8.443
Na -1.921 -1.109 16.541
Na 3.562 -0.125 6.911
Na 1.673 3.148 6.911
Na 2.012 -1.162 10.867
Na 0.000 2.323 10.867
Na 3.387 1.956 9.871
Na 1.921 -1.109 16.541
Na 0.000 2.218 16.541
Li 0.000 0.000 13.598

***

Entry 16:
28
Lattice="0.000 8.114 8.114 8.114 0.000 8.114 8.114 8.114 0.000" Properties=species:S:1:pos:R:3 comment="KNa10Li3 | the Alexandria database | PBE | optimized geometry" final_energy_ev_per_atom=-1.33 n_ef_per_ev_atom=0.70 delta_e_f_ev_per_atom=0.10 pbc="T T T"
K 4.057 4.057 4.057
K 12.170 12.170 12.170
Na 2.767 2.767 0.000
Na 5.346 5.346 0.000
Na 2.767 0.000 2.767
Na 8.114 5.346 2.767
Na 5.346 0.000 5.346
Na 8.114 2.767 5.346
Na 10.019 6.208 6.208
Na 0.000 2.767 2.767
Na 5.346 8.114 2.767
Na 5.346 2.767 8.114
Na 6.208 6.208 6.208
Na 10.019 10.019 6.208
Na 10.019 6.208 10.019
Na 6.208 10.019 6.208
Na 6.208 6.208 10.019
Na 10.019 10.019 10.019
Na 0.000 5.346 5.346
Na 2.767 8.114 5.346
Na 2.767 5.346 8.114
Na 6.208 10.019 10.019
Li 8.114 8.114 4.457
Li 8.114 4.457 8.114
Li 11.770 8.114 8.114
Li 4.457 8.114 8.114
Li 8.114 11.770 8.114
Li 8.114 8.114 11.770

***

Entry 17:
4
Lattice="0.000 4.182 4.182 4.182 0.000 4.182 4.182 4.182 0.000" Properties=species:S:1:pos:R:3 comment="KNaLi2 | the Alexandria database | PBE | optimized geometry" polymorph_energy_mev_per_atom=29.0 final_energy_ev_per_atom=-1.41 n_ef_per_ev_atom=0.58 delta_e_f_ev_per_atom=0.15 pbc="T T T"
K 0.000 0.000 0.000
Na 4.182 4.182 4.182
Li 2.091 2.091 2.091
Li 6.273 6.273 6.273

***

Entry 18:
10
Lattice="10.851 0.000 0.000 0.000 10.851 0.000 0.000 0.000 3.782" Properties=species:S:1:pos:R:3 comment="K2NaLi2 | the Alexandria database | PBE | optimized geometry" polymorph_energy_mev_per_atom=74.9 final_energy_ev_per_atom=-1.28 n_ef_per_ev_atom=0.51 delta_e_f_ev_per_atom=0.19 pbc="T T T"
K 2.039 3.386 0.000
K 3.386 8.812 0.000
K 7.465 2.039 0.000
K 8.812 7.465 0.000
Na 0.000 0.000 0.000
Na 5.425 5.425 0.000
Li 1.092 6.518 1.891
Li 4.333 1.092 1.891
Li 6.518 9.759 1.891
Li 9.759 4.333 1.891

***

Entry 19:
5
Lattice="5.737 0.000 0.000 0.000 5.737 0.000 0.000 0.000 5.737" Properties=species:S:1:pos:R:3 comment="KNaLi3 | the Alexandria database | PBE | optimized geometry" polymorph_energy_mev_per_atom=0.0 final_energy_ev_per_atom=-1.36 n_ef_per_ev_atom=0.61 delta_e_f_ev_per_atom=0.27 pbc="T T T"
K 0.000 0.000 0.000
Na 2.868 2.868 2.868
Li 0.000 2.868 2.868
Li 2.868 0.000 2.868
Li 2.868 2.868 0.000

***

Entry 20:
16
Lattice="6.289 0.000 0.000 0.000 6.289 0.000 0.000 0.000 24.818" Properties=species:S:1:pos:R:3 comment="K12Na3Li | the Alexandria database | PBE | optimized geometry" final_energy_ev_per_atom=-1.15 n_ef_per_ev_atom=0.61 delta_e_f_ev_per_atom=0.04 pbc="T T T"
K 0.000 0.000 0.000
K 0.000 0.000 6.120
K 0.000 0.000 12.409
K 0.000 0.000 18.698
K 0.000 3.144 2.955
K 0.000 3.144 9.264
K 0.000 3.144 15.554
K 0.000 3.144 21.863
K 3.144 0.000 2.955
K 3.144 0.000 9.264
K 3.144 0.000 15.554
K 3.144 0.000 21.863
Na 3.144 3.144 6.122
Na 3.144 3.144 12.409
Na 3.144 3.144 18.696
Li 3.144 3.144 0.000